Entry 1:
TcC5IO5 | GGA-PBE | optimized geometry

The space group is Cmcm (No. 63) and the conventional cell measures 8.100, 11.344 and 11.967 Å, with angles of 90.00, 90.00 and 90.00 degrees. The asymmetric unit holds Tc at (0.000, 0.144, 0.250), C at (0.000, 0.315, 0.250), C at (0.176, 0.134, 0.132), I at (0.000, 0.107, 0.750), O at (0.000, 0.417, 0.250) and O at (0.222, 0.374, 0.565).



Entry 2:
TiCI2O | GGA-PBE | optimized geometry

The space group is P4/mmm (No. 123) and the conventional cell measures 5.583, 5.583 and 3.732 Å, with angles of 90.00, 90.00 and 90.00 degrees. The asymmetric unit holds Ti at (0.000, 0.000, 0.000), C at (0.500, 0.500, 0.500), I at (0.000, 0.500, 0.000) and O at (0.000, 0.000, 0.500).



Entry 3:
TiCI2O | GGA-PBE | optimized geometry

The space group is P4/mmm (No. 123) and the conventional cell measures 5.234, 5.234 and 3.342 Å, with angles of 90.00, 90.00 and 90.00 degrees. The asymmetric unit holds Ti at (0.000, 0.000, 0.000), C at (0.500, 0.500, 0.500), I at (0.000, 0.500, 0.500) and O at (0.500, 0.500, 0.000).



Entry 4:
TlCI2O | GGA-PBE | optimized geometry

The space group is P4/mmm (No. 123) and the conventional cell measures 6.173, 6.173 and 4.059 Å, with angles of 90.00, 90.00 and 90.00 degrees. The asymmetric unit holds Tl at (0.000, 0.000, 0.000), C at (0.500, 0.500, 0.500), I at (0.000, 0.500, 0.000) and O at (0.000, 0.000, 0.500).



Entry 5:
TlCI2O | GGA-PBE | optimized geometry

The space group is P4/mmm (No. 123) and the conventional cell measures 6.442, 6.442 and 3.172 Å, with angles of 90.00, 90.00 and 90.00 degrees. The asymmetric unit holds Tl at (0.000, 0.000, 0.000), C at (0.500, 0.500, 0.500), I at (0.000, 0.500, 0.500) and O at (0.500, 0.500, 0.000).



VASP energy? In order: -364.569; -23.407; -20.169; -12.317; -16.060 eV for the cell shown.